Entry from Alexandria via LeMat-Bulk: an optimized crystal structure of TmLuTlCo (GGA-PBE).

Unit cell a=5.014 b=5.014 c=5.014 alpha=60.00 beta=60.00 gamma=60.00
Positions (direct):
1 Tm 0.000 0.000 0.000
2 Lu 0.500 0.500 0.500
3 Tl 0.250 0.250 0.250
4 Co 0.750 0.750 0.750

Values from the calculation:
energy relative to the elements	-0.55	eV per formula unit
calculated total energy	-4.75	eV per atom
crystal system	cubic
density of states at the Fermi level	2.83	states/eV/f.u.
size of the total moment	1.2	μB/f.u.

Entry from Alexandria via LeMat-Bulk: an optimized crystal structure of In2OsPb (GGA-PBE).

Unit cell a=3.471 b=4.924 c=5.144 alpha=90.00 beta=90.00 gamma=90.00
Positions (direct):
1 In 0.000 0.000 0.000
2 In 0.500 0.000 0.500
3 Os 0.000 0.500 0.500
4 Pb 0.500 0.500 0.000

Values from the calculation:
energy relative to the elements	3.04	eV per formula unit
calculated total energy	-4.34	eV per atom
crystal system	orthorhombic
density of states at the Fermi level	3.16	states/eV/f.u.
size of the total moment	0.0	μB/f.u.

Entry from Alexandria via LeMat-Bulk: an optimized crystal structure of Te4RuRh (GGA-PBE).

Unit cell a=6.071 b=6.071 c=6.071 alpha=60.00 beta=60.00 gamma=60.00
Positions (direct):
1 Te 0.125 0.125 0.125
2 Te 0.125 0.125 0.626
3 Te 0.125 0.626 0.125
4 Te 0.626 0.125 0.125
5 Ru 0.500 0.500 0.500
6 Rh 0.750 0.750 0.750

Values from the calculation:
raw formation energy	134	kJ per mole of atoms
calculated total energy	-3.48	eV per atom
excess energy over the best structure of this formula in the dataset	1743.4	meV per atom
crystal system	cubic
density of states at the Fermi level	10.48	states/eV/f.u.
size of the total moment	3.5	μB/f.u.

Entry from Alexandria via LeMat-Bulk: an optimized crystal structure of LiMgInBi (GGA-PBE).

Unit cell a=5.195 b=5.195 c=5.195 alpha=60.00 beta=60.00 gamma=60.00
Positions (direct):
1 Li 0.000 0.000 0.000
2 Mg 0.500 0.500 0.500
3 In 0.250 0.250 0.250
4 Bi 0.750 0.750 0.750

Values from the calculation:
energy relative to the elements	-0.82	eV per formula unit
calculated total energy	-2.74	eV per atom
excess energy over the best structure of this formula in the dataset	14.5	meV per atom
crystal system	cubic
density of states at the Fermi level	1.96	states/eV/f.u.
size of the total moment	0.0	μB/f.u.

Entry from Alexandria via LeMat-Bulk: an optimized crystal structure of TmInPd2 (GGA-PBE).

Unit cell a=4.766 b=4.766 c=4.766 alpha=60.00 beta=60.00 gamma=60.00
Positions (direct):
1 Tm 0.000 0.000 0.000
2 In 0.500 0.500 0.500
3 Pd 0.250 0.250 0.250
4 Pd 0.750 0.750 0.750

Values from the calculation:
energy relative to the elements	-3.37	eV per formula unit
calculated total energy	-5.24	eV per atom
crystal system	cubic
density of states at the Fermi level	2.24	states/eV/f.u.
size of the total moment	0.0	μB/f.u.

Entry from Alexandria via LeMat-Bulk: an optimized crystal structure of Ta5Mo3 (GGA-PBE).

Unit cell a=2.866 b=9.063 c=5.388 alpha=90.00 beta=99.51 gamma=90.00
Positions (direct):
1 Ta 0.000 0.000 0.000
2 Ta 0.000 0.485 0.000
3 Ta 0.258 0.745 0.748
4 Ta 0.500 0.483 0.500
5 Ta 0.742 0.745 0.252
6 Mo 0.254 0.239 0.748
7 Mo 0.500 0.998 0.500
8 Mo 0.746 0.239 0.252

Values from the calculation:
energy relative to the elements	-0.59	eV per formula unit
calculated total energy	-11.54	eV per atom
excess energy over the best structure of this formula in the dataset	98.8	meV per atom
crystal system	monoclinic
density of states at the Fermi level	8.90	states/eV/f.u.
size of the total moment	0.0	μB/f.u.

Entry from Alexandria via LeMat-Bulk: an optimized crystal structure of ScTlCuBr5 (GGA-PBE).

Unit cell a=7.583 b=7.583 c=10.166 alpha=103.74 beta=103.74 gamma=106.37
Positions (direct):
1 Sc 0.000 0.000 0.000
2 Sc 0.000 0.000 0.500
3 Tl 0.349 0.651 0.750
4 Tl 0.651 0.349 0.250
5 Cu 0.306 0.694 0.250
6 Cu 0.694 0.306 0.750
7 Br 0.071 0.929 0.750
8 Br 0.096 0.694 0.397
9 Br 0.234 0.370 0.072
10 Br 0.306 0.904 0.103
11 Br 0.370 0.234 0.572
12 Br 0.630 0.766 0.428
13 Br 0.694 0.096 0.897
14 Br 0.766 0.630 0.928
15 Br 0.904 0.306 0.603
16 Br 0.929 0.071 0.250

Values from the calculation:
raw formation energy	-107	kJ per mole of atoms
calculated total energy	-3.76	eV per atom
crystal system	monoclinic
size of the total moment	0.1	μB/f.u.

Entry from Alexandria via LeMat-Bulk: an optimized crystal structure of Ce2Ga4Pd3 (GGA-PBE).

Unit cell a=8.135 b=8.135 c=7.684 alpha=90.00 beta=90.00 gamma=137.74
Positions (direct):
1 Ce 0.110 0.890 0.909
2 Ce 0.390 0.610 0.409
3 Ce 0.610 0.390 0.591
4 Ce 0.890 0.110 0.091
5 Ga 0.178 0.822 0.514
6 Ga 0.191 0.309 0.750
7 Ga 0.309 0.191 0.250
8 Ga 0.322 0.678 0.014
9 Ga 0.678 0.322 0.986
10 Ga 0.691 0.809 0.750
11 Ga 0.809 0.691 0.250
12 Ga 0.822 0.178 0.486
13 Pd 0.000 0.000 0.500
14 Pd 0.019 0.481 0.750
15 Pd 0.481 0.019 0.250
16 Pd 0.500 0.500 0.000
17 Pd 0.519 0.981 0.750
18 Pd 0.981 0.519 0.250

Values from the calculation:
energy relative to the elements	-6.32	eV per formula unit
calculated total energy	-5.10	eV per atom
crystal system	orthorhombic
density of states at the Fermi level	13.43	states/eV/f.u.
size of the total moment	1.5	μB/f.u.